# Nd2MgAl3Pd4 (GGA-PBE, relaxed)
data_Nd2MgAl3Pd4
_chemical_formula_sum 'Nd2 Mg1 Al3 Pd4'
_cell_length_a 4.3639
_cell_length_b 4.3639
_cell_length_c 10.4321
_cell_angle_alpha 90.00
_cell_angle_beta 90.00
_cell_angle_gamma 90.00
_space_group_name_H-M_alt 'P 1'
_space_group_IT_number 1
loop_
_space_group_symop_operation_xyz
'x,y,z'
loop_
_atom_site_label
_atom_site_type_symbol
_atom_site_fract_x
_atom_site_fract_y
_atom_site_fract_z
Nd1 Nd 0.0000 0.5000 0.2409
Nd2 Nd 0.5000 0.0000 0.7591
Mg1 Mg 0.0000 0.0000 0.5000
Al1 Al 0.0000 0.5000 0.8780
Al2 Al 0.5000 0.0000 0.1220
Al3 Al 0.5000 0.5000 0.5000
Pd1 Pd 0.0000 0.0000 0.0000
Pd2 Pd 0.0000 0.5000 0.6385
Pd3 Pd 0.5000 0.0000 0.3615
Pd4 Pd 0.5000 0.5000 0.0000
# N(E_F) ... 0.64 states/eV per atom
# E_form ... -0.801 eV/atom
# Symmetry ... P-4m2
# Crystal system ... tetragonal
# Calculated volume ... 199 Å³ per cell

***

# BaCuRh2 (GGA-PBE, relaxed)
data_BaCuRh2
_chemical_formula_sum 'Ba2 Cu2 Rh4'
_cell_length_a 4.4649
_cell_length_b 4.4649
_cell_length_c 7.7962
_cell_angle_alpha 90.00
_cell_angle_beta 90.00
_cell_angle_gamma 90.00
_space_group_name_H-M_alt 'P 1'
_space_group_IT_number 1
loop_
_space_group_symop_operation_xyz
'x,y,z'
loop_
_atom_site_label
_atom_site_type_symbol
_atom_site_fract_x
_atom_site_fract_y
_atom_site_fract_z
Ba1 Ba 0.0000 0.0000 0.0000
Ba2 Ba 0.5000 0.5000 0.5000
Cu1 Cu 0.0000 0.5000 0.7500
Cu2 Cu 0.5000 0.0000 0.2500
Rh1 Rh 0.0000 0.0000 0.5000
Rh2 Rh 0.0000 0.5000 0.2500
Rh3 Rh 0.5000 0.0000 0.7500
Rh4 Rh 0.5000 0.5000 0.0000
# N(E_F) ... 1.59 states/eV per atom
# E_form ... 0.448 eV/atom
# Symmetry ... I-4m2
# Crystal system ... tetragonal
# Calculated volume ... 155 Å³ per cell
# Energy relative to the lowest polymorph listed for this composition ... 556 meV per atom

***

# Ac6PrSe8 (GGA-PBE, relaxed)
data_Ac6PrSe8
_chemical_formula_sum 'Ac6 Pr1 Se8'
_cell_length_a 8.8836
_cell_length_b 8.8836
_cell_length_c 8.8836
_cell_angle_alpha 60.00
_cell_angle_beta 60.00
_cell_angle_gamma 60.00
_space_group_name_H-M_alt 'P 1'
_space_group_IT_number 1
loop_
_space_group_symop_operation_xyz
'x,y,z'
loop_
_atom_site_label
_atom_site_type_symbol
_atom_site_fract_x
_atom_site_fract_y
_atom_site_fract_z
Ac1 Ac 0.0000 0.0000 0.5000
Ac2 Ac 0.0000 0.5000 0.0000
Ac3 Ac 0.0000 0.5000 0.5000
Ac4 Ac 0.5000 0.0000 0.0000
Ac5 Ac 0.5000 0.0000 0.5000
Ac6 Ac 0.5000 0.5000 0.0000
Pr1 Pr 0.0000 0.0000 0.0000
Se1 Se 0.2440 0.2440 0.7560
Se2 Se 0.2440 0.7560 0.2440
Se3 Se 0.2440 0.7560 0.7560
Se4 Se 0.2500 0.2500 0.2500
Se5 Se 0.7500 0.7500 0.7500
Se6 Se 0.7560 0.2440 0.2440
Se7 Se 0.7560 0.2440 0.7560
Se8 Se 0.7560 0.7560 0.2440
# N(E_F) ... 0.54 states/eV per atom
# Symmetry ... Fm-3m
# Crystal system ... cubic
# Calculated volume ... 496 Å³ per cell
# Total DFT energy (no corrections) ... -5.723 eV per atom